1.
Density functional theory data (PBE) for AlV8Ge2 after structural relaxation.

Calculated values
Energy of formation from the pure elements = -0.228 eV/atom
SG = C2/m (12)
E_tot = -0.2955 Ha/atom

Cell: 4.261 6.505 6.618 Å, 117.61 108.78 90.00°
Sites, in units of the cell vectors:
V (0.681, 0.888, 0.363)
V (0.856, 0.807, 0.712)
V (0.593, 0.454, 0.185)
V (0.966, 0.262, 0.932)
V (0.144, 0.193, 0.288)
V (0.034, 0.738, 0.068)
V (0.319, 0.112, 0.637)
V (0.407, 0.546, 0.815)
Ge (0.214, 0.656, 0.429)
Ge (0.786, 0.344, 0.571)
Al (0.500, 0.000, 0.000)

***

2.
Density functional theory data (PBE) for Al2V4Ge after structural relaxation.

Calculated values
Energy of formation from the pure elements = 0.212 eV/atom
SG = Cmmm (65)
E_tot = -0.2472 Ha/atom
E above lowest polymorph = 0.000 eV/f.u.

Cell: 2.557 4.391 10.975 Å, 101.54 90.00 90.00°
Sites, in units of the cell vectors:
Ge (0.000, 0.500, 0.000)
V (0.000, 0.715, 0.430)
V (0.500, 0.397, 0.795)
V (0.000, 0.285, 0.570)
V (0.500, 0.603, 0.205)
Al (0.500, 0.170, 0.341)
Al (0.500, 0.830, 0.659)

***

3.
Density functional theory data (PBE) for Al3V6Ge after structural relaxation.

Calculated values
Energy of formation from the pure elements = 0.042 eV/atom
SG = Cmc2_1 (36)
E_tot = -0.2577 Ha/atom

Cell: 5.386 7.947 7.947 Å, 119.21 90.00 90.00°
Sites, in units of the cell vectors:
Al (0.095, 0.381, 0.619)
Al (0.595, 0.619, 0.381)
Al (0.024, 0.713, 0.911)
Al (0.024, 0.089, 0.287)
Al (0.524, 0.287, 0.089)
Al (0.524, 0.911, 0.713)
V (0.553, 0.223, 0.381)
V (0.553, 0.619, 0.777)
V (0.339, 0.534, 0.007)
V (0.839, 0.007, 0.534)
V (0.348, 0.966, 0.034)
V (0.339, 0.993, 0.466)
V (0.053, 0.777, 0.619)
V (0.053, 0.381, 0.223)
V (0.561, 0.272, 0.728)
V (0.839, 0.466, 0.993)
V (0.061, 0.728, 0.272)
V (0.848, 0.034, 0.966)
Ge (0.151, 0.171, 0.829)
Ge (0.651, 0.829, 0.171)

***

4.
Density functional theory data (PBE) for Al2V4Ge after structural relaxation.

Calculated values
Energy of formation from the pure elements = 0.714 eV/atom
SG = I4/mmm (139)
E_tot = -0.2288 Ha/atom
E above lowest polymorph = 3.513 eV/f.u.

Cell: 4.493 4.493 7.308 Å, 72.10 72.10 90.00°
Sites, in units of the cell vectors:
V (0.814, 0.814, 0.372)
V (0.000, 0.500, 0.000)
V (0.500, 0.000, 0.000)
V (0.186, 0.186, 0.628)
Al (0.386, 0.386, 0.228)
Al (0.614, 0.614, 0.772)
Ge (0.000, 0.000, 0.000)

***

5.
Density functional theory data (PBE) for Al3VGe after structural relaxation.

Calculated values
Energy of formation from the pure elements = 0.954 eV/atom
SG = Pm-3m (221)
E_tot = -0.1484 Ha/atom
E above lowest polymorph = 1.029 eV/f.u.

Cell: 4.841 4.841 4.841 Å, 90.00 90.00 90.00°
Sites, in units of the cell vectors:
V (0.500, 0.500, 0.500)
Al (0.500, 0.000, 0.000)
Al (0.000, 0.000, 0.500)
Al (0.000, 0.500, 0.000)
Ge (0.000, 0.000, 0.000)

***

6.
Density functional theory data (PBE) for Al2V6Ge after structural relaxation.

Calculated values
Energy of formation from the pure elements = -0.117 eV/atom
SG = P-1 (2)
E_tot = -0.2771 Ha/atom
E above lowest polymorph = 0.000 eV/f.u.

Cell: 2.624 9.262 7.438 Å, 45.38 99.49 101.41°
Sites, in units of the cell vectors:
V (0.795, 0.846, 0.389)
V (0.205, 0.154, 0.611)
V (0.998, 0.170, 0.924)
V (0.029, 0.504, 0.822)
V (0.002, 0.830, 0.076)
V (0.971, 0.496, 0.178)
Al (0.499, 0.817, 0.747)
Al (0.501, 0.183, 0.253)
Ge (0.500, 0.500, 0.500)

***

7.
Density functional theory data (PBE) for Al2VGe after structural relaxation.

Calculated values
Energy of formation from the pure elements = -0.121 eV/atom
SG = P2_1/m (11)
E_tot = -0.1994 Ha/atom

Cell: 4.947 4.743 5.194 Å, 90.00 90.00 87.37°
Sites, in units of the cell vectors:
Al (0.641, 0.246, 0.503)
Al (0.359, 0.754, 0.497)
Al (0.359, 0.754, 0.003)
Al (0.641, 0.246, 0.997)
V (0.854, 0.694, 0.250)
V (0.146, 0.306, 0.750)
Ge (0.883, 0.793, 0.750)
Ge (0.117, 0.207, 0.250)

***

8.
Density functional theory data (PBE) for Al3V4Ge2 after structural relaxation.

Calculated values
Energy of formation from the pure elements = -0.141 eV/atom
SG = C2/m (12)
E_tot = -0.2377 Ha/atom

Cell: 4.431 4.947 6.727 Å, 100.26 90.00 116.61°
Sites, in units of the cell vectors:
V (0.881, 0.762, 0.351)
V (0.321, 0.643, 0.989)
V (0.679, 0.357, 0.011)
V (0.119, 0.238, 0.649)
Al (0.000, 0.000, 0.000)
Al (0.549, 0.097, 0.329)
Al (0.451, 0.903, 0.671)
Ge (0.218, 0.437, 0.312)
Ge (0.782, 0.563, 0.688)

***

9.
Density functional theory data (PBE) for AlVGe after structural relaxation.

Calculated values
Energy of formation from the pure elements = -0.252 eV/atom
SG = Fdd2 (43)
E_tot = -0.2234 Ha/atom

Cell: 4.880 4.807 4.989 Å, 75.63 60.72 59.50°
Sites, in units of the cell vectors:
Al (0.897, 0.206, 0.500)
Al (0.647, 0.706, 0.000)
V (0.315, 0.370, 0.000)
V (0.565, 0.870, 0.500)
Ge (0.237, 0.525, 0.500)
Ge (0.987, 0.025, 0.000)

***

10.
Density functional theory data (PBE) for AlV3Ge2 after structural relaxation.

Calculated values
Energy of formation from the pure elements = -0.171 eV/atom
SG = Cmcm (63)
E_tot = -0.2533 Ha/atom

Cell: 8.300 4.881 4.881 Å, 119.16 90.00 90.00°
Sites, in units of the cell vectors:
Ge (0.720, 0.165, 0.497)
Ge (0.220, 0.503, 0.835)
Ge (0.720, 0.497, 0.165)
Ge (0.220, 0.835, 0.503)
V (0.470, 0.169, 0.831)
V (0.970, 0.169, 0.831)
V (0.470, 0.831, 0.169)
V (0.970, 0.831, 0.169)
V (0.470, 0.500, 0.500)
V (0.970, 0.500, 0.500)
Al (0.220, 0.168, 0.168)
Al (0.720, 0.832, 0.832)

***

11.
Density functional theory data (PBE) for Al2V6Ge after structural relaxation.

Calculated values
Energy of formation from the pure elements = 0.052 eV/atom
SG = Immm (71)
E_tot = -0.2709 Ha/atom
E above lowest polymorph = 1.525 eV/f.u.

Cell: 7.030 7.030 7.030 Å, 101.23 114.31 113.18°
Sites, in units of the cell vectors:
V (0.188, 0.261, 0.449)
V (0.090, 0.303, 0.787)
V (0.910, 0.697, 0.213)
V (0.188, 0.739, 0.927)
V (0.812, 0.261, 0.073)
V (0.484, 0.697, 0.787)
V (0.735, 0.062, 0.326)
V (0.265, 0.938, 0.674)
V (0.265, 0.591, 0.326)
V (0.516, 0.303, 0.213)
V (0.735, 0.409, 0.674)
V (0.812, 0.739, 0.551)
Al (0.500, 0.360, 0.860)
Al (0.500, 0.640, 0.140)
Al (0.340, 0.000, 0.340)
Al (0.660, 0.000, 0.660)
Ge (0.000, 0.500, 0.500)
Ge (0.000, 0.000, 0.000)

***

12.
Density functional theory data (PBE) for Al2V5Ge after structural relaxation.

Calculated values
Energy of formation from the pure elements = -0.158 eV/atom
SG = I4/mcm (140)
E_tot = -0.2708 Ha/atom

Cell: 6.432 6.432 7.109 Å, 116.90 116.90 90.00°
Sites, in units of the cell vectors:
V (0.999, 0.499, 0.321)
V (0.001, 0.501, 0.679)
V (0.501, 0.678, 0.679)
V (0.178, 0.001, 0.679)
V (0.000, 0.000, 0.000)
V (0.678, 0.178, 0.679)
V (0.822, 0.999, 0.321)
V (0.500, 0.500, 0.000)
V (0.322, 0.822, 0.321)
V (0.499, 0.322, 0.321)
Al (0.637, 0.137, 0.000)
Al (0.863, 0.637, 0.000)
Al (0.363, 0.863, 0.000)
Al (0.137, 0.363, 0.000)
Ge (0.250, 0.250, 0.500)
Ge (0.750, 0.750, 0.500)

***

13.
Density functional theory data (PBE) for AlV6Ge after structural relaxation.

Calculated values
Energy of formation from the pure elements = -0.218 eV/atom
SG = Amm2 (38)
E_tot = -0.2977 Ha/atom
E above lowest polymorph = 0.133 eV/f.u.

Cell: 4.303 5.276 5.276 Å, 113.84 90.00 90.00°
Sites, in units of the cell vectors:
Al (0.500, 0.405, 0.595)
V (0.500, 0.895, 0.605)
V (0.500, 0.395, 0.105)
V (0.000, 0.618, 0.382)
V (0.000, 0.107, 0.397)
V (0.500, 0.882, 0.118)
V (0.000, 0.603, 0.893)
Ge (0.000, 0.096, 0.904)

***

14.
Density functional theory data (PBE) for Al2VGe after structural relaxation.

Calculated values
Energy of formation from the pure elements = -0.012 eV/atom
SG = P4/mmm (123)
E_tot = -0.1954 Ha/atom

Cell: 3.715 4.027 4.027 Å, 90.00 90.00 90.00°
Sites, in units of the cell vectors:
Ge (0.500, 0.000, 0.000)
Al (0.000, 0.500, 0.000)
Al (0.000, 0.000, 0.500)
V (0.500, 0.500, 0.500)

***

15.
Density functional theory data (PBE) for Al5V4Ge after structural relaxation.

Calculated values
Energy of formation from the pure elements = 0.114 eV/atom
SG = C2/m (12)
E_tot = -0.2156 Ha/atom

Cell: 2.718 8.409 7.303 Å, 101.42 100.73 90.00°
Sites, in units of the cell vectors:
V (0.985, 0.754, 0.970)
V (0.674, 0.055, 0.349)
V (0.326, 0.945, 0.651)
V (0.015, 0.246, 0.030)
Ge (0.500, 0.000, 0.000)
Al (0.161, 0.755, 0.322)
Al (0.194, 0.360, 0.389)
Al (0.806, 0.640, 0.611)
Al (0.500, 0.500, 0.000)
Al (0.839, 0.245, 0.678)

***

16.
Density functional theory data (PBE) for Al2VGe after structural relaxation.

Calculated values
Energy of formation from the pure elements = 0.034 eV/atom
SG = R-3m (166)
E_tot = -0.1937 Ha/atom

Cell: 2.895 2.895 8.848 Å, 80.59 80.59 60.00°
Sites, in units of the cell vectors:
Ge (0.500, 0.500, 0.500)
V (0.000, 0.000, 0.000)
Al (0.254, 0.254, 0.239)
Al (0.746, 0.746, 0.761)

***

17.
Density functional theory data (PBE) for AlV4Ge2 after structural relaxation.

Calculated values
Energy of formation from the pure elements = -0.055 eV/atom
SG = P2_1/m (11)
E_tot = -0.2616 Ha/atom

Cell: 6.688 5.220 6.429 Å, 90.00 114.66 90.00°
Sites, in units of the cell vectors:
V (0.579, 0.489, 0.225)
V (0.010, 0.250, 0.519)
V (0.124, 0.750, 0.890)
V (0.421, 0.989, 0.775)
V (0.421, 0.511, 0.775)
V (0.579, 0.011, 0.225)
V (0.876, 0.250, 0.110)
V (0.990, 0.750, 0.481)
Al (0.293, 0.750, 0.342)
Al (0.707, 0.250, 0.658)
Ge (0.805, 0.750, 0.050)
Ge (0.195, 0.250, 0.950)
Ge (0.698, 0.750, 0.617)
Ge (0.302, 0.250, 0.383)

***

18.
Density functional theory data (PBE) for AlVGe after structural relaxation.

Calculated values
Energy of formation from the pure elements = 0.083 eV/atom
SG = Pmc2_1 (26)
E_tot = -0.2111 Ha/atom

Cell: 4.200 5.034 5.205 Å, 90.00 89.98 90.00°
Sites, in units of the cell vectors:
V (0.921, 0.423, 0.020)
V (0.921, 0.923, 0.796)
Al (0.921, 0.923, 0.293)
Al (0.921, 0.423, 0.523)
Ge (0.421, 0.173, 0.909)
Ge (0.421, 0.673, 0.907)

***

19.
Density functional theory data (PBE) for Al2V3Ge after structural relaxation.

Calculated values
Energy of formation from the pure elements = 0.159 eV/atom
SG = C2/m (12)
E_tot = -0.2358 Ha/atom

Cell: 6.713 5.246 6.803 Å, 85.74 83.34 50.22°
Sites, in units of the cell vectors:
Ge (0.670, 0.660, 0.000)
Ge (0.330, 0.340, 0.000)
V (0.916, 0.662, 0.243)
V (0.084, 0.338, 0.757)
V (0.257, 0.000, 0.246)
V (0.422, 0.662, 0.757)
V (0.743, 0.000, 0.754)
V (0.578, 0.338, 0.243)
Al (0.000, 0.000, 0.000)
Al (0.165, 0.669, 0.500)
Al (0.500, 0.000, 0.500)
Al (0.835, 0.331, 0.500)

***

20.
Density functional theory data (PBE) for Al3VGe after structural relaxation.

Calculated values
Energy of formation from the pure elements = 0.748 eV/atom
SG = Pm-3m (221)
E_tot = -0.1560 Ha/atom
E above lowest polymorph = 0.000 eV/f.u.

Cell: 4.784 4.784 4.784 Å, 90.00 90.00 90.00°
Sites, in units of the cell vectors:
V (0.000, 0.000, 0.000)
Al (0.500, 0.000, 0.000)
Al (0.000, 0.000, 0.500)
Al (0.000, 0.500, 0.000)
Ge (0.500, 0.500, 0.500)

***

21.
Density functional theory data (PBE) for AlV12Ge6 after structural relaxation.

Calculated values
Energy of formation from the pure elements = -0.109 eV/atom
SG = R-3 (148)
E_tot = -0.2765 Ha/atom

Cell: 6.456 6.456 6.456 Å, 90.76 90.76 90.76°
Sites, in units of the cell vectors:
Ge (0.874, 0.267, 0.718)
Ge (0.733, 0.282, 0.126)
Ge (0.718, 0.874, 0.267)
Ge (0.267, 0.718, 0.874)
Ge (0.282, 0.126, 0.733)
Ge (0.126, 0.733, 0.282)
V (0.939, 0.860, 0.620)
V (0.809, 0.522, 0.429)
V (0.191, 0.478, 0.571)
V (0.478, 0.571, 0.191)
V (0.571, 0.191, 0.478)
V (0.140, 0.380, 0.061)
V (0.860, 0.620, 0.939)
V (0.061, 0.140, 0.380)
V (0.522, 0.429, 0.809)
V (0.429, 0.809, 0.522)
V (0.620, 0.939, 0.860)
V (0.380, 0.061, 0.140)
Al (0.000, 0.000, 0.000)

***

22.
Density functional theory data (PBE) for AlV6Ge3 after structural relaxation.

Calculated values
Energy of formation from the pure elements = -0.103 eV/atom
SG = Cmc2_1 (36)
E_tot = -0.2695 Ha/atom

Cell: 6.249 7.264 7.264 Å, 113.92 90.00 90.00°
Sites, in units of the cell vectors:
Ge (0.267, 0.420, 0.580)
Ge (0.960, 0.081, 0.293)
Ge (0.767, 0.580, 0.420)
Ge (0.960, 0.707, 0.919)
Ge (0.460, 0.293, 0.081)
Ge (0.460, 0.919, 0.707)
V (0.788, 0.054, 0.946)
V (0.810, 0.436, 0.019)
V (0.551, 0.270, 0.730)
V (0.107, 0.375, 0.242)
V (0.107, 0.758, 0.625)
V (0.607, 0.625, 0.758)
V (0.310, 0.019, 0.436)
V (0.310, 0.564, 0.981)
V (0.810, 0.981, 0.564)
V (0.288, 0.946, 0.054)
V (0.607, 0.242, 0.375)
V (0.051, 0.730, 0.270)
Al (0.125, 0.183, 0.817)
Al (0.625, 0.817, 0.183)